No. 1
First-principles (GGA-PBE) data for a geometry-optimized InAgTe2I structure, as listed in Alexandria via LeMat-Bulk.

a b c (Å): 5.482 5.482 5.871
angles (deg): 90.00 90.00 90.00
Space group P4/mmm (No. 123)
Asymmetric unit:
In 0.000 0.000 0.000 [1 per cell]
Ag 0.500 0.500 0.500 [1 per cell]
Te 0.000 0.500 0.500 [2 per cell]
I 0.500 0.500 0.000 [1 per cell]

**Total energy**: -12.4 eV per cell
**Magnetic moment**: 0.00 μB/f.u.
**Energy above the lowest structure with this stoichiometry**: 0.000 eV per atom
**Uncorrected formation energy**: 0.202 eV/atom



No. 2
First-principles (GGA-PBE) data for a geometry-optimized ThInAgI6 structure, as listed in Alexandria via LeMat-Bulk.

a b c (Å): 7.8281 7.8281 15.4987
angles (deg): 90.00 90.00 120.00
Space group P-31c (No. 163)
Asymmetric unit:
Th 0.3333 0.6667 0.2500 [2 per cell]
In 0.0000 0.0000 0.0000 [2 per cell]
Ag 0.3333 0.6667 0.7500 [2 per cell]
I 0.0005 0.3574 0.1345 [12 per cell]

**Total energy**: -59.3 eV per cell
**Magnetic moment**: 0.00 μB/f.u.
**Uncorrected formation energy**: -0.816 eV/atom



No. 3
First-principles (GGA-PBE) data for a geometry-optimized TiInAgI6 structure, as listed in Alexandria via LeMat-Bulk.

a b c (Å): 7.6110 7.6110 7.1599
angles (deg): 90.00 90.00 120.00
Space group P312 (No. 149)
Asymmetric unit:
Ti 0.0000 0.0000 0.0000 [1 per cell]
In 0.3333 0.6667 0.5000 [1 per cell]
Ag 0.6667 0.3333 0.0000 [1 per cell]
I 0.3076 0.0228 0.2257 [6 per cell]

**Total energy**: -27.4 eV per cell
**Magnetic moment**: 0.07 μB/f.u.
**Uncorrected formation energy**: -0.508 eV/atom



No. 4
First-principles (GGA-PBE) data for a geometry-optimized Tl2InAgI6 structure, as listed in Alexandria via LeMat-Bulk.

a b c (Å): 8.3723 8.3723 21.5037
angles (deg): 90.00 90.00 120.00
Space group R3 (No. 146, hexagonal axes)
Asymmetric unit:
Tl 0.0000 0.0000 0.0000 [3 per cell]
Tl 0.0000 0.0000 0.4837 [3 per cell]
In 0.0000 0.0000 0.7041 [3 per cell]
Ag 0.0000 0.0000 0.2846 [3 per cell]
I 0.0105 0.4147 0.4406 [9 per cell]
I 0.0841 0.7194 0.2766 [9 per cell]

**Total energy**: -73.3 eV per cell
**Magnetic moment**: 0.00 μB/f.u.
**Uncorrected formation energy**: -0.481 eV/atom



Repeat the first record exactly.
First-principles (GGA-PBE) data for a geometry-optimized InAgTe2I structure, as listed in Alexandria via LeMat-Bulk.

a b c (Å): 5.482 5.482 5.871
angles (deg): 90.00 90.00 90.00
Space group P4/mmm (No. 123)
Asymmetric unit:
In 0.000 0.000 0.000 [1 per cell]
Ag 0.500 0.500 0.500 [1 per cell]
Te 0.000 0.500 0.500 [2 per cell]
I 0.500 0.500 0.000 [1 per cell]

**Total energy**: -12.4 eV per cell
**Magnetic moment**: 0.00 μB/f.u.
**Energy above the lowest structure with this stoichiometry**: 0.000 eV per atom
**Uncorrected formation energy**: 0.202 eV/atom